1.
DFT (PBE-GGA) results for a relaxed structure of Tb12HoSc3.

DOS at the Fermi energy, states/eV per cell: 23.7
Uncorrected energy, eV/cell: -78.6
V, A^3/atom: 30.4
Total moment, μB/f.u.: 0.001

Lattice parameters (Å, degrees): 4.958 4.958 19.770 90.00 90.00 90.00
Atoms (fractional coordinates):
1 Tb 0.500 0.000 0.872
2 Tb 0.000 0.500 0.872
3 Tb 0.500 0.000 0.128
4 Tb 0.000 0.500 0.624
5 Tb 0.500 0.500 0.253
6 Tb 0.000 0.500 0.128
7 Tb 0.500 0.500 0.000
8 Tb 0.500 0.500 0.500
9 Tb 0.500 0.000 0.376
10 Tb 0.500 0.500 0.747
11 Tb 0.000 0.500 0.376
12 Tb 0.500 0.000 0.624
13 Sc 0.000 0.000 0.748
14 Sc 0.000 0.000 0.252
15 Sc 0.000 0.000 0.500
16 Ho 0.000 0.000 0.000

---

2.
DFT (PBE-GGA) results for a relaxed structure of Si2HgSe.

ΔE_f (raw), meV per atom: 178
DOS at the Fermi energy, states/eV per cell: 1.8
V, A^3/atom: 20.0
Total moment, μB/f.u.: 0.000

Lattice parameters (Å, degrees): 7.224 7.224 7.224 29.35 29.35 29.35
Atoms (fractional coordinates):
1 Hg 0.510 0.510 0.510
2 Si 0.262 0.262 0.262
3 Si 0.993 0.993 0.993
4 Se 0.735 0.735 0.735

---

3.
DFT (PBE-GGA) results for a relaxed structure of ZrScCu.

DOS at the Fermi energy, states/eV per cell: 2.0
Uncorrected energy, eV/cell: -38.9
V, A^3/atom: 19.4
Total moment, μB/f.u.: 0.000

Lattice parameters (Å, degrees): 5.094 5.094 5.789 102.48 102.46 120.62
Atoms (fractional coordinates):
1 Zr 0.045 0.120 0.069
2 Zr 0.378 0.786 0.069
3 Cu 0.462 0.703 0.569
4 Cu 0.962 0.203 0.569
5 Sc 0.854 0.596 0.354
6 Sc 0.569 0.310 0.783

---

4.
DFT (PBE-GGA) results for a relaxed structure of Ni2P.

DOS at the Fermi energy, states/eV per cell: 2.6
Uncorrected energy, eV/cell: -36.2
V, A^3/atom: 11.8
Total moment, μB/f.u.: 0.000

Lattice parameters (Å, degrees): 4.237 4.237 5.292 85.96 85.96 48.22
Atoms (fractional coordinates):
1 Ni 0.028 0.028 0.896
2 Ni 0.549 0.549 0.243
3 Ni 0.735 0.735 0.779
4 Ni 0.247 0.247 0.423
5 P 0.318 0.318 0.003
6 P 0.956 0.956 0.490

---

DOS at the Fermi energy of number 2 (Si2HgSe)? 1.8 states/eV per cell

---

Look up the V of the third one. 19.4 A^3/atom

---

Which of these has the highest V? Tb12HoSc3